Run i
Below is a relaxed structure of AgPb4Au, with properties calculated at the PBE level.

Lattice parameters (Å, degrees): 8.967 8.967 8.967 90.00 90.00 90.00
Space group F-43m (No. 216)
Unique sites:
Ag 0.000 0.000 0.000 [4 per cell]
Pb 0.125 0.125 0.375 [16 per cell]
Au 0.250 0.250 0.750 [4 per cell]

Run ii
Below is a relaxed structure of AgPb4Au, with properties calculated at the PBE level.

Lattice parameters (Å, degrees): 9.213 13.508 6.051 90.00 118.68 90.00
Space group C2/c (No. 15)
Unique sites:
Ag 0.000 0.011 0.250 [4 per cell]
Pb 0.133 0.185 0.612 [8 per cell]
Pb 0.191 0.432 0.788 [8 per cell]
Au 0.000 0.364 0.250 [4 per cell]

Run iii
Below is a relaxed structure of AgPb4Au, with properties calculated at the PBE level.

Lattice parameters (Å, degrees): 7.426 7.426 5.817 90.00 90.00 90.00
Space group I422 (No. 97)
Unique sites:
Ag 0.000 0.000 0.000 [2 per cell]
Pb 0.160 0.340 0.750 [8 per cell]
Au 0.000 0.000 0.500 [2 per cell]

Least stable: run i

Run i
Below is a relaxed structure of Ag7Pd4Au, with properties calculated at the PBE level.

Lattice parameters (Å, degrees): 4.980 5.777 7.611 79.61 71.21 89.75
Space group P-1 (No. 2)
Unique sites:
Ag 0.000 0.000 0.000 [1 per cell]
Ag 0.004 0.836 0.663 [2 per cell]
Ag 0.495 0.417 0.337 [2 per cell]
Ag 0.497 0.752 0.001 [2 per cell]
Pd 0.000 0.333 0.668 [2 per cell]
Pd 0.500 0.085 0.665 [2 per cell]
Au 0.000 0.500 0.000 [1 per cell]

Run ii
Below is a relaxed structure of Ag7Pd4Au, with properties calculated at the PBE level.

Lattice parameters (Å, degrees): 10.290 5.043 10.050 90.00 120.17 90.00
Space group C2/m (No. 12)
Unique sites:
Ag 0.000 0.000 0.000 [2 per cell]
Ag 0.109 0.500 0.451 [4 per cell]
Ag 0.158 0.000 0.619 [4 per cell]
Ag 0.209 0.000 0.914 [4 per cell]
Pd 0.091 0.000 0.311 [4 per cell]
Pd 0.190 0.500 0.772 [4 per cell]
Au 0.000 0.500 0.000 [2 per cell]

Least stable: run ii